A plane-wave DFT calculation with PBE+U was carried out for a relaxed K2Li2MnO4 crystal.

Properties
* total DFT energy (no corrections): -94.4 eV for the cell shown

Cell: 11.7605 3.1992 6.1211 Å, 90.00 109.79 90.00°
Last column: nearest neighbours and their distance in Å.
Space group C2/m (No. 12)
Unique sites:
K 0.1386 0.0000 0.0523 [4 per cell]  7 O 2.72-2.92, 3 Li 2.91-3.01
Li 0.1774 0.5000 0.4887 [4 per cell]  3 O 1.85-1.89
Mn 0.0000 0.0000 0.5000 [2 per cell]  6 O 1.98-2.06
O 0.0127 0.5000 0.2987 [4 per cell]  1 Li 1.89, 2 Mn 2.06
O 0.1788 0.0000 0.6398 [4 per cell]  2 Li 1.85, 1 Mn 1.98